No. 1
Material: Zr2VNi3
Method: DFT, PBE
State: relaxed

abc: 4.963 4.963 4.963
angles: 61.21 61.21 61.21
Positions (direct):
1 Zr 0.629 0.629 0.629
2 Zr 0.371 0.371 0.371
3 V 0.000 0.000 0.000
4 Ni 0.000 0.500 0.000
5 Ni 0.500 0.000 0.000
6 Ni 0.000 0.000 0.500

Output
- Symmetry: R-3m, No. 166
- ΔH_f (0 K): -1.893 eV per formula unit



No. 2
Material: SiAg2Sb
Method: DFT, PBE
State: relaxed

abc: 4.868 4.868 4.868
angles: 60.00 60.00 60.00
Positions (direct):
1 Sb 0.500 0.500 0.500
2 Si 0.000 0.000 0.000
3 Ag 0.250 0.250 0.250
4 Ag 0.750 0.750 0.750

Output
- Formation energy without anion corrections: 0.374 eV/atom
- Symmetry: Fm-3m, No. 225
- ΔE to the lowest computed polymorph: 0.130 eV per atom



No. 3
Material: MgScCdRh
Method: DFT, PBE
State: relaxed

abc: 3.253 3.253 7.123
angles: 90.00 90.00 90.00
Positions (direct):
1 Mg 0.500 0.500 0.791
2 Sc 0.500 0.500 0.362
3 Cd 0.000 0.000 0.065
4 Rh 0.000 0.000 0.567

Output
- Symmetry: P4mm, No. 99
- ΔH_f (0 K): -2.162 eV per formula unit



No. 4
Material: KRb3Cd8
Method: DFT, PBE
State: relaxed

abc: 6.461 6.461 11.540
angles: 73.74 73.74 60.00
Positions (direct):
1 K 0.875 0.875 0.375
2 Rb 0.375 0.375 0.876
3 Rb 0.000 0.000 0.001
4 Rb 0.500 0.500 0.499
5 Cd 0.936 0.436 0.191
6 Cd 0.440 0.938 0.684
7 Cd 0.436 0.436 0.191
8 Cd 0.938 0.938 0.684
9 Cd 0.188 0.188 0.436
10 Cd 0.688 0.688 0.937
11 Cd 0.436 0.936 0.191
12 Cd 0.938 0.440 0.684

Output
- Symmetry: R3m, No. 160
- ΔH_f (0 K): -0.794 eV per formula unit



Number 1: calculated volume 14.8 Å³/atom. Number 2: calculated volume 20.4 Å³/atom. Number 3: calculated volume 18.8 Å³/atom. Number 4: calculated volume 32.9 Å³/atom.